Density functional theory data (PBE) for crystalline Cd2MoRu at its relaxed geometry.

Summary:
As for the space group: No. 123. The value obtained for the excess energy over the best structure of this formula in the dataset is 212 kJ/mol of formula units. The total moment is 1.56 μB/cell. As for the energy: -4.82 eV per atom. As for the energy of formation from the pure elements: 2.7 eV/f.u. Its density of states at the Fermi level is 2.93 states/eV/cell.

Unit cell a=4.9862 b=4.9862 c=2.8387 alpha=90.00 beta=90.00 gamma=90.00
Fractional coordinates of all 4 atoms:
Mo 0.5000 0.0000 0.5000
Ru 0.0000 0.5000 0.5000
Cd 0.0000 0.0000 0.0000
Cd 0.5000 0.5000 0.0000